Entry 1:
Density functional theory data (PBE) for a relaxed TiCdCu2 crystal.

Cell: 5.9326 5.9326 5.9326 Å, 154.38 130.59 56.48°
Closest atoms and distances in Å follow each position.
Fractional positions:
Ti: 0.0000 0.0000 0.0000  2 Cu 2.54, 2 Ti 2.63, 4 Cd 2.81
Cd: 0.5000 0.5000 0.0000  2 Cd 2.63, 2 Cu 2.69, 4 Ti 2.81
Cu: 0.2429 0.2429 0.0000  1 Ti 2.54, 6 Cu 2.63-2.81, 1 Cd 2.69
Cu: 0.7571 0.7571 0.0000  1 Ti 2.54, 6 Cu 2.63-2.81, 1 Cd 2.69

## Properties
As for the crystal system: orthorhombic. For the total energy, the calculation gives -15.1 eV per cell.



Entry 2:
Density functional theory data (PBE) for a relaxed Ce5SiRu2 crystal.

Cell: 5.8553 5.8553 15.4660 Å, 90.00 90.00 135.48°
Closest atoms and distances in Å follow each position.
Fractional positions:
Ce: 0.0765 0.9235 0.6133  2 Ru 2.94, 2 Ce 2.99, 2 Si 3.19
Ce: 0.0765 0.9235 0.8867  2 Ru 2.94, 2 Ce 2.99, 2 Si 3.19
Ce: 0.2178 0.7822 0.2500  2 Ru 2.68
Ce: 0.3995 0.6005 0.5747  3 Ru 2.77-2.85, 1 Si 2.91, 2 Ce 2.99
Ce: 0.3995 0.6005 0.9253  3 Ru 2.77-2.85, 1 Si 2.91, 2 Ce 2.99
Ce: 0.6005 0.3995 0.0747  3 Ru 2.77-2.85, 1 Si 2.91, 2 Ce 2.99
Ce: 0.6005 0.3995 0.4253  3 Ru 2.77-2.85, 1 Si 2.91, 2 Ce 2.99
Ce: 0.7822 0.2178 0.7500  2 Ru 2.68
Ce: 0.9235 0.0765 0.1133  2 Ru 2.94, 2 Ce 2.99, 2 Si 3.19
Ce: 0.9235 0.0765 0.3867  2 Ru 2.94, 2 Ce 2.99, 2 Si 3.19
Si: 0.4962 0.5038 0.7500  9 Ce 2.91-3.21
Si: 0.5038 0.4962 0.2500  9 Ce 2.91-3.21
Ru: 0.2528 0.7472 0.0784  6 Ce 2.68-2.94
Ru: 0.2528 0.7472 0.4216  6 Ce 2.68-2.94
Ru: 0.7472 0.2528 0.5784  6 Ce 2.68-2.94
Ru: 0.7472 0.2528 0.9216  6 Ce 2.68-2.94

## Properties
As for the crystal system: orthorhombic. Its uncorrected formation energy is -375 meV/atom.



Entry 3:
Density functional theory data (PBE) for a relaxed La4PrIn2 crystal.

Cell: 7.8001 7.8001 7.8001 Å, 133.87 133.87 67.29°
Closest atoms and distances in Å follow each position.
Fractional positions:
La: 0.0000 0.5000 0.5000  2 Pr 3.06, 2 La 3.25
La: 0.2500 0.7500 0.5000  2 La 3.25, 4 In 3.47
La: 0.5000 0.0000 0.5000  2 Pr 3.06, 2 La 3.25
La: 0.7500 0.2500 0.5000  2 La 3.25, 4 In 3.47
Pr: 0.0000 0.0000 0.0000  4 La 3.06
In: 0.3773 0.3773 0.0000  1 In 3.19, 8 La 3.45-3.47
In: 0.6227 0.6227 0.0000  1 In 3.19, 8 La 3.45-3.47

## Properties
As for the crystal system: tetragonal. The relative energy among the computed polymorphs is 224 meV/atom.



Entry 4:
Density functional theory data (PBE) for a relaxed Ta5Ru crystal.

Cell: 5.3771 5.3771 5.3771 Å, 60.00 60.00 60.00°
Closest atoms and distances in Å follow each position.
Fractional positions:
Ta: 0.0000 0.0000 0.0000  12 Ta 3.15, 4 Ru 3.29
Ta: 0.1243 0.6252 0.6252  6 Ta 2.68-2.69
Ta: 0.6252 0.1243 0.6252  6 Ta 2.68-2.69
Ta: 0.6252 0.6252 0.1243  6 Ta 2.68-2.69
Ta: 0.6252 0.6252 0.6252  6 Ta 2.68-2.69
Ru: 0.2500 0.2500 0.2500  16 Ta 3.15-3.29

## Properties
As for the crystal system: cubic. The relative energy among the computed polymorphs is 522 meV/atom.



Entry 5:
Density functional theory data (PBE) for a relaxed PuThAgRu crystal.

Cell: 5.0600 5.0600 5.0600 Å, 60.00 60.00 60.00°
Closest atoms and distances in Å follow each position.
Fractional positions:
Pu: 0.0000 0.0000 0.0000  4 Ru 3.10, 4 Ag 3.10
Th: 0.5000 0.5000 0.5000  4 Ru 3.10, 4 Ag 3.10
Ag: 0.2500 0.2500 0.2500  4 Th 3.10, 4 Pu 3.10
Ru: 0.7500 0.7500 0.7500  4 Th 3.10, 4 Pu 3.10

## Properties
As for the crystal system: cubic. For the total energy, the calculation gives -34.1 eV per cell.



Entry 6:
Density functional theory data (PBE) for a relaxed Pr10Sm4Ho crystal.

Cell: 9.6871 9.6871 9.6871 Å, 99.57 99.57 131.87°
Closest atoms and distances in Å follow each position.
Fractional positions:
Pr: 0.0496 0.1498 0.7018  1 Ho 3.41, 3 Sm 3.43
Pr: 0.1498 0.4481 0.1002  1 Ho 3.41, 3 Sm 3.43
Pr: 0.2500 0.7500 0.5000  4 Sm 3.43
Pr: 0.3478 0.0496 0.8998  1 Ho 3.41, 3 Sm 3.43
Pr: 0.4481 0.3478 0.2982  1 Ho 3.41, 3 Sm 3.43
Pr: 0.5519 0.6522 0.7018  1 Ho 3.41, 3 Sm 3.43
Pr: 0.6522 0.9504 0.1002  1 Ho 3.41, 3 Sm 3.43
Pr: 0.7500 0.2500 0.5000  4 Sm 3.43
Pr: 0.8502 0.5519 0.8998  1 Ho 3.41, 3 Sm 3.43
Pr: 0.9504 0.8502 0.2982  1 Ho 3.41, 3 Sm 3.43
Sm: 0.2006 0.6005 0.8011  8 Pr 3.43
Sm: 0.3995 0.2006 0.6002  8 Pr 3.43
Sm: 0.6005 0.7994 0.3998  8 Pr 3.43
Sm: 0.7994 0.3995 0.1989  8 Pr 3.43
Ho: 0.0000 0.0000 0.0000  8 Pr 3.41

## Properties
As for the crystal system: tetragonal. For the total energy, the calculation gives -60.9 eV per cell.



Entry 7:
Density functional theory data (PBE) for a relaxed SrNdGa crystal.

Cell: 13.6798 3.8164 3.8164 Å, 89.99 90.00 90.00°
Closest atoms and distances in Å follow each position.
Fractional positions:
Sr: 0.1430 0.0000 0.0000  4 Ga 3.33
Sr: 0.8570 0.0000 0.0000  4 Ga 3.33
Nd: 0.3764 0.5011 0.5011  4 Ga 3.18-3.19, 1 Nd 3.38
Nd: 0.6236 0.5011 0.5011  4 Ga 3.18-3.19, 1 Nd 3.38
Ga: 0.0000 0.4999 0.4999  8 Sr 3.33
Ga: 0.5000 0.0011 0.0011  8 Nd 3.18-3.19

## Properties
As for the crystal system: orthorhombic. The relative energy among the computed polymorphs is 28 meV/atom.



Entry 8:
Density functional theory data (PBE) for a relaxed KCuC2 crystal.

Cell: 7.1387 7.1387 7.1387 Å, 144.82 144.82 50.60°
Closest atoms and distances in Å follow each position.
Fractional positions:
K: 0.3750 0.6250 0.7500  8 C 2.90, 4 Cu 3.05
K: 0.6250 0.3750 0.2500  8 C 2.90, 4 Cu 3.05
Cu: 0.1250 0.8750 0.2500  4 C 1.94
Cu: 0.8750 0.1250 0.7500  4 C 1.94
C: 0.0000 0.0000 0.0000  2 Cu 1.94, 2 C 2.16
C: 0.0000 0.0000 0.5000  2 Cu 1.94, 2 C 2.16
C: 0.0000 0.5000 0.0000  2 Cu 1.94, 2 C 2.16
C: 0.5000 0.0000 0.5000  2 Cu 1.94, 2 C 2.16

## Properties
As for the crystal system: tetragonal. For the total energy, the calculation gives -34.3 eV per cell.



Entry 9:
Density functional theory data (PBE) for a relaxed TiVBi2Ir crystal.

Cell: 5.4116 5.4116 4.6257 Å, 90.00 90.00 90.00°
Closest atoms and distances in Å follow each position.
Fractional positions:
Ti: 0.0000 0.0000 0.0000  8 Bi 3.56, 4 V 3.83
V: 0.5000 0.5000 0.0000  2 Ir 2.31
Bi: 0.0000 0.5000 0.5000  2 Ir 2.71
Bi: 0.5000 0.0000 0.5000  2 Ir 2.71
Ir: 0.5000 0.5000 0.5000  2 V 2.31

## Properties
As for the crystal system: tetragonal. For the total energy, the calculation gives -29.0 eV per cell.



Entry 10:
Density functional theory data (PBE) for a relaxed PmPbI5 crystal.

Cell: 9.2816 4.5610 15.0781 Å, 90.00 93.87 90.00°
Closest atoms and distances in Å follow each position.
Fractional positions:
Pm: 0.0893 0.2500 0.1511  7 I 3.10-3.40
Pm: 0.9107 0.7500 0.8489  7 I 3.10-3.40
Pb: 0.4057 0.7500 0.3639  7 I 3.22-3.57
Pb: 0.5943 0.2500 0.6361  7 I 3.22-3.57
I: 0.1179 0.2500 0.7942  2 Pm 3.13
I: 0.1436 0.2500 0.3641  1 Pm 3.22, 2 Pb 3.33
I: 0.1789 0.7500 0.0139  3 Pm 3.23-3.40
I: 0.3536 0.7500 0.5727  3 Pb 3.22-3.29
I: 0.4227 0.2500 0.1823  1 Pm 3.10
I: 0.5773 0.7500 0.8177  1 Pm 3.10
I: 0.6464 0.2500 0.4273  3 Pb 3.22-3.29
I: 0.8211 0.2500 0.9861  3 Pm 3.23-3.40
I: 0.8564 0.7500 0.6359  1 Pm 3.22, 2 Pb 3.33
I: 0.8821 0.7500 0.2058  2 Pm 3.13

## Properties
As for the crystal system: monoclinic. Its uncorrected formation energy is -1053 meV/atom.



Entry 11:
Density functional theory data (PBE) for a relaxed Na2AgCN2 crystal.

Cell: 4.4572 9.6516 4.4248 Å, 90.00 90.00 90.00°
Closest atoms and distances in Å follow each position.
Fractional positions:
Na: 0.0367 0.2491 0.0000  4 N 2.46-2.58
Na: 0.4633 0.7491 0.5000  4 N 2.46-2.58
Na: 0.5367 0.2509 0.5000  4 N 2.46-2.58
Na: 0.9633 0.7509 0.0000  4 N 2.46-2.58
Ag: 0.0000 0.0000 0.5000  4 C 3.14, 8 Na 3.18-3.40, 4 N 3.22
Ag: 0.5000 0.5000 0.0000  4 C 3.14, 8 Na 3.18-3.40, 4 N 3.22
C: 0.0000 0.5000 0.5000  2 N 1.25
C: 0.5000 0.0000 0.0000  2 N 1.25
N: 0.0515 0.3728 0.5000  1 C 1.25
N: 0.4485 0.8728 0.0000  1 C 1.25
N: 0.5515 0.1272 0.0000  1 C 1.25
N: 0.9485 0.6272 0.5000  1 C 1.25

## Properties
As for the crystal system: orthorhombic. Its uncorrected formation energy is 9 meV/atom.



Entry 12:
Density functional theory data (PBE) for a relaxed KOsPt3 crystal.

Cell: 4.7999 4.7999 4.7999 Å, 90.00 90.00 90.00°
Closest atoms and distances in Å follow each position.
Fractional positions:
K: 0.0000 0.0000 0.0000  6 Pt 2.40
Os: 0.5000 0.5000 0.5000  12 Pt 3.39
Pt: 0.0000 0.0000 0.5000  2 K 2.40
Pt: 0.0000 0.5000 0.0000  2 K 2.40
Pt: 0.5000 0.0000 0.0000  2 K 2.40

## Properties
As for the crystal system: cubic. For the total energy, the calculation gives -16.3 eV per cell.